No. 1
The following is a PBE calculation of Li2SeCl after structural relaxation, from Alexandria.

Cell lengths 6.2484, 6.2484, 6.3455 Å; angles 60.51, 60.51, 90.00 degrees
With the nearest neighbours (Å) after each atom.
Positions (direct):
Cl (0.5000, 0.5000, 0.0000)  4 Li 2.35
Cl (0.2500, 0.7500, 0.5000)  4 Li 2.35
Li (0.3750, 0.4098, 0.7500)  2 Cl 2.35, 2 Se 2.63
Li (0.5902, 0.1250, 0.2500)  2 Cl 2.35, 2 Se 2.63
Li (0.8750, 0.8402, 0.7500)  2 Cl 2.35, 2 Se 2.63
Li (0.1598, 0.6250, 0.2500)  2 Cl 2.35, 2 Se 2.63
Se (0.7500, 0.2500, 0.5000)  4 Li 2.63
Se (0.0000, 0.0000, 0.0000)  4 Li 2.63

As for the total magnetization: 0.250 μB per atom. The energy relative to the elements, uncorrected comes out at -1098 meV per atom.



No. 2
The following is a PBE calculation of Li2SeCl after structural relaxation, from Alexandria.

Cell lengths 3.9728, 6.7134, 3.1068 Å; angles 90.00, 90.00, 90.00 degrees
With the nearest neighbours (Å) after each atom.
Positions (direct):
Li (0.5000, 0.5000, 0.0000)  4 Cl 2.52
Li (0.0000, 0.0000, 0.0000)  4 Se 2.52
Se (0.5000, 0.0000, 0.5000)  4 Li 2.52
Cl (0.0000, 0.5000, 0.5000)  4 Li 2.52

As for the total magnetization: 0.000 μB per atom. The energy relative to the elements, uncorrected comes out at -1096 meV per atom.



Repeat the first record exactly.
The following is a PBE calculation of Li2SeCl after structural relaxation, from Alexandria.

Cell lengths 6.2484, 6.2484, 6.3455 Å; angles 60.51, 60.51, 90.00 degrees
With the nearest neighbours (Å) after each atom.
Positions (direct):
Cl (0.5000, 0.5000, 0.0000)  4 Li 2.35
Cl (0.2500, 0.7500, 0.5000)  4 Li 2.35
Li (0.3750, 0.4098, 0.7500)  2 Cl 2.35, 2 Se 2.63
Li (0.5902, 0.1250, 0.2500)  2 Cl 2.35, 2 Se 2.63
Li (0.8750, 0.8402, 0.7500)  2 Cl 2.35, 2 Se 2.63
Li (0.1598, 0.6250, 0.2500)  2 Cl 2.35, 2 Se 2.63
Se (0.7500, 0.2500, 0.5000)  4 Li 2.63
Se (0.0000, 0.0000, 0.0000)  4 Li 2.63

As for the total magnetization: 0.250 μB per atom. The energy relative to the elements, uncorrected comes out at -1098 meV per atom.